The following is a DFT calculation (PBE-GGA) of an optimized crystal structure of Pm3Ho2Al2.

formation enthalpy at 0 K = -0.4 eV/f.u.
density of states at the Fermi level = 14.33 states/eV/cell

Lattice parameters (Å, degrees): 4.695 24.110 3.442 90.00 90.00 90.00
Space group Cmmm (No. 65)
Unique sites:
Pm 0.000 0.000 0.000
Pm 0.000 0.134 0.000
Ho 0.000 0.292 0.500
Al 0.000 0.434 0.500